Material: NdErMo
Method: DFT, PBE
State: optimized geometry

Calculated values
- total energy (eV/cell) = -16.3
- DFT formation energy (kJ/mol of atoms) = 125.8

Cell: 4.918 4.918 4.918 Å, 60.00 60.00 60.00°
Last column: magnetic moment on the atom in μB.
Fractional positions:
Er 0.250 0.250 0.250  -0.16
Mo 0.750 0.750 0.750  1.36
Nd 0.000 0.000 0.000  0.00